! ZnW2O4 GGA+U relaxed; values from VASP
&SYSTEM
  ibrav = 0, nat = 14, ntyp = 3
/
ATOMIC_SPECIES
Zn 65.41 Zn.upf
W 183.84 W.upf
O 16.00 O.upf
ATOMIC_POSITIONS crystal
Zn 0.1250 0.1250 0.1250
Zn 0.8750 0.8750 0.8750
W 0.0000 0.5000 0.5000
W 0.5000 0.0000 0.5000
W 0.5000 0.5000 0.0000
W 0.5000 0.5000 0.5000
O 0.2573 0.2573 0.2573
O 0.2573 0.2573 0.7282
O 0.2573 0.7282 0.2573
O 0.2718 0.7427 0.7427
O 0.7282 0.2573 0.2573
O 0.7427 0.2718 0.7427
O 0.7427 0.7427 0.2718
O 0.7427 0.7427 0.7427
CELL_PARAMETERS angstrom
0.0000 4.5251 4.5251
4.5251 0.0000 4.5251
4.5251 4.5251 0.0000
! Energy ... -92.34 eV for the cell shown
! Energy above the lowest structure with this stoichiometry ... 0.485 eV/f.u.